(1)
Material: Pr5Sn3
Method: DFT, PBEsol
State: optimized geometry

Structure (POSCAR):
```
Pr5Sn3
1.0
9.263 0.000 0.000
-4.632 8.022 0.000
0.000 0.000 6.756
Pr Sn
10 6
Cartesian
-1.128 1.954 1.689
-3.504 6.068 5.067
2.256 0.000 1.689
1.128 1.954 5.067
0.000 5.348 0.000
0.000 5.348 3.378
4.632 2.674 0.000
4.632 2.674 3.378
7.007 0.000 5.067
3.504 6.068 1.689
-1.822 3.155 5.067
-2.810 4.867 1.689
3.643 0.000 5.067
1.822 3.155 1.689
5.620 0.000 1.689
2.810 4.867 5.067
```

- Space group: No. 193
- N(E_F): 1.16 states/eV/atom
- Formation energy: -699 meV/atom

=====

(2)
Material: Pr5Sn3
Method: DFT, PBEsol
State: optimized geometry

Structure (POSCAR):
```
Pr5Sn3
1.0
-6.236 6.236 3.069
6.236 -6.236 3.069
6.236 6.236 -3.069
Pr Sn
10 6
Cartesian
9.749 1.047 0.000
1.047 2.723 0.000
6.236 0.000 1.534
7.283 3.513 0.000
3.513 5.189 0.000
2.723 1.047 3.069
-1.047 2.723 3.069
0.000 6.236 1.534
5.189 3.513 3.069
-3.513 5.189 3.069
4.232 2.004 0.000
0.000 0.000 1.534
4.232 -2.004 3.069
2.004 8.241 0.000
0.000 0.000 4.603
2.004 4.232 3.069
```

- Space group: No. 140
- N(E_F): 1.21 states/eV/atom
- Formation energy: -714 meV/atom

=====

(3)
Material: PrYSn6
Method: DFT, PBEsol
State: optimized geometry

Structure (POSCAR):
```
PrYSn6
1.0
4.667 0.000 0.000
0.000 4.667 0.000
0.000 0.000 9.348
Pr Y Sn
1 1 6
Cartesian
0.000 0.000 0.000
0.000 0.000 4.674
0.000 2.333 2.383
0.000 2.333 6.964
2.333 0.000 2.383
2.333 0.000 6.964
2.333 2.333 0.000
2.333 2.333 4.674
```

- Space group: No. 123
- N(E_F): 0.56 states/eV/atom
- Formation energy: -533 meV/atom

=====

(4)
Material: PrZnSn
Method: DFT, PBEsol
State: optimized geometry

Structure (POSCAR):
```
PrZnSn
1.0
4.461 0.000 0.000
-2.230 3.863 0.000
0.000 0.000 8.451
Pr Zn Sn
2 2 2
Cartesian
0.000 0.000 0.000
0.000 0.000 4.225
0.000 2.575 2.113
2.230 1.288 6.338
0.000 2.575 6.338
2.230 1.288 2.113
```

- Space group: No. 194
- N(E_F): 0.81 states/eV/atom
- Formation energy: -630 meV/atom

=====

(5)
Material: Pr2Zn5Sn
Method: DFT, PBEsol
State: optimized geometry

Structure (POSCAR):
```
Pr2Zn5Sn
1.0
2.207 -8.181 0.000
2.207 8.181 0.000
0.000 0.000 8.954
Pr Zn Sn
4 10 2
Cartesian
0.000 0.000 0.000
0.000 0.000 4.477
2.207 4.811 6.715
2.207 -4.811 2.238
2.207 5.152 0.977
2.207 5.152 3.500
2.207 2.569 0.141
2.207 2.569 4.336
2.207 1.713 6.715
2.207 -1.713 2.238
2.207 -2.569 4.618
2.207 -2.569 8.813
2.207 -5.152 5.453
2.207 -5.152 7.977
2.207 0.913 2.238
2.207 -0.913 6.715
```

- Space group: No. 63
- N(E_F): 0.47 states/eV/atom
- Formation energy: -466 meV/atom

=====

(6)
Material: SrPr3
Method: DFT, PBEsol
State: optimized geometry

Structure (POSCAR):
```
SrPr3
1.0
5.261 0.000 0.000
0.000 5.261 0.000
0.000 0.000 5.261
Sr Pr
1 3
Cartesian
0.000 0.000 0.000
0.000 2.630 2.630
2.630 0.000 2.630
2.630 2.630 0.000
```

- Space group: No. 221
- N(E_F): 1.47 states/eV/atom
- Formation energy: 128 meV/atom

=====

(7)
Material: Tb3Pr
Method: DFT, PBEsol
State: optimized geometry

Structure (POSCAR):
```
Tb3Pr
1.0
4.984 0.000 0.000
0.000 4.984 0.000
0.000 0.000 9.951
Tb Pr
6 2
Cartesian
0.000 0.000 0.000
0.000 2.492 2.488
0.000 2.492 7.463
2.492 0.000 2.488
2.492 0.000 7.463
2.492 2.492 4.975
0.000 0.000 4.975
2.492 2.492 0.000
```

- Space group: No. 139
- N(E_F): 1.32 states/eV/atom
- Formation energy: 14 meV/atom

=====

(8)
Material: Tb3Pr
Method: DFT, PBEsol
State: optimized geometry

Structure (POSCAR):
```
Tb3Pr
1.0
3.565 0.000 0.000
-1.783 3.088 0.000
0.000 0.000 11.364
Tb Pr
3 1
Cartesian
0.000 0.000 0.000
0.000 2.058 2.777
0.000 2.058 8.586
0.000 0.000 5.682
```

- Space group: No. 187
- N(E_F): 1.67 states/eV/atom
- Formation energy: 28 meV/atom

=====

(9)
Material: Tb3Pr
Method: DFT, PBEsol
State: optimized geometry

Structure (POSCAR):
```
Tb3Pr
1.0
7.137 0.000 0.000
-3.568 6.181 0.000
0.000 0.000 5.668
Tb Pr
6 2
Cartesian
0.000 2.054 1.417
-1.790 5.154 1.417
1.779 1.027 4.251
1.790 5.154 1.417
5.358 1.027 4.251
3.568 4.127 4.251
0.000 4.120 4.251
3.568 2.060 1.417
```

- Space group: No. 194
- N(E_F): 1.67 states/eV/atom
- Formation energy: 26 meV/atom

=====

(10)
Material: PrTe2
Method: DFT, PBEsol
State: optimized geometry

Structure (POSCAR):
```
PrTe2
1.0
4.461 0.000 0.000
0.000 4.461 0.000
0.000 0.000 9.064
Pr Te
2 4
Cartesian
1.115 1.115 2.074
3.346 3.346 6.990
1.115 1.115 7.877
1.115 3.346 4.532
3.346 1.115 4.532
3.346 3.346 1.188
```

- Space group: No. 129
- N(E_F): 0.15 states/eV/atom
- E_form (uncorrected): -1.303 eV/atom

=====

(11)
Material: Pr2Te5
Method: DFT, PBEsol
State: optimized geometry

Structure (POSCAR):
```
Pr2Te5
1.0
2.192 -22.222 0.000
2.192 22.222 0.000
0.000 0.000 4.384
Pr Te
4 10
Cartesian
2.192 17.850 3.288
2.192 8.578 3.288
2.192 -8.578 1.096
2.192 -17.850 1.096
2.192 20.352 1.096
2.192 14.535 3.288
2.192 11.110 1.096
2.192 5.344 3.288
2.192 1.873 1.096
2.192 -1.873 3.288
2.192 -5.344 1.096
2.192 -11.110 3.288
2.192 -14.535 1.096
2.192 -20.352 3.288
```

- Space group: No. 63
- N(E_F): 0.26 states/eV/atom
- E_form (uncorrected): -1.142 eV/atom

=====

(12)
Material: PrTl3
Method: DFT, PBEsol
State: optimized geometry

Structure (POSCAR):
```
PrTl3
1.0
4.741 0.000 0.000
0.000 4.741 0.000
0.000 0.000 4.741
Pr Tl
1 3
Cartesian
0.000 0.000 0.000
0.000 2.371 2.371
2.371 0.000 2.371
2.371 2.371 0.000
```

- Space group: No. 221
- N(E_F): 0.56 states/eV/atom
- Formation energy: -386 meV/atom

=====

(13)
Material: Pr5Tl3
Method: DFT, PBEsol
State: optimized geometry

Structure (POSCAR):
```
Pr5Tl3
1.0
-6.250 6.250 3.082
6.250 -6.250 3.082
6.250 6.250 -3.082
Pr Tl
10 6
Cartesian
9.744 1.065 0.000
1.065 2.755 0.000
6.250 0.000 1.541
7.314 3.494 0.000
3.494 5.185 0.000
2.755 1.065 3.082
-1.065 2.755 3.082
0.000 6.250 1.541
5.185 3.494 3.082
-3.494 5.185 3.082
4.235 2.015 0.000
0.000 0.000 1.541
4.235 -2.015 3.082
2.015 8.265 0.000
0.000 0.000 4.624
2.015 4.235 3.082
```

- Space group: No. 140
- N(E_F): 0.98 states/eV/atom
- Formation energy: -374 meV/atom

=====

(14)
Material: PrTmTl2
Method: DFT, PBEsol
State: optimized geometry

Structure (POSCAR):
```
PrTmTl2
1.0
7.547 0.000 0.000
0.000 7.547 0.000
0.000 0.000 7.547
Pr Tm Tl
4 4 8
Cartesian
0.000 0.000 0.000
0.000 3.773 3.773
3.773 0.000 3.773
3.773 3.773 0.000
0.000 0.000 3.773
0.000 3.773 0.000
3.773 0.000 0.000
3.773 3.773 3.773
1.887 1.887 1.887
1.887 1.887 5.660
1.887 5.660 1.887
1.887 5.660 5.660
5.660 1.887 1.887
5.660 1.887 5.660
5.660 5.660 1.887
5.660 5.660 5.660
```

- Space group: No. 225
- N(E_F): 0.90 states/eV/atom
- Formation energy: -409 meV/atom

=====

(15)
Material: PrYTl2
Method: DFT, PBEsol
State: optimized geometry

Structure (POSCAR):
```
PrYTl2
1.0
7.593 0.000 0.000
0.000 7.593 0.000
0.000 0.000 7.593
Pr Y Tl
4 4 8
Cartesian
0.000 0.000 0.000
0.000 3.797 3.797
3.797 0.000 3.797
3.797 3.797 0.000
0.000 0.000 3.797
0.000 3.797 0.000
3.797 0.000 0.000
3.797 3.797 3.797
1.898 1.898 1.898
1.898 1.898 5.695
1.898 5.695 1.898
1.898 5.695 5.695
5.695 1.898 1.898
5.695 1.898 5.695
5.695 5.695 1.898
5.695 5.695 5.695
```

- Space group: No. 225
- N(E_F): 0.82 states/eV/atom
- Formation energy: -456 meV/atom

=====

(16)
Material: PrY
Method: DFT, PBEsol
State: optimized geometry

Structure (POSCAR):
```
PrY
1.0
3.607 0.000 0.000
-1.803 3.124 0.000
0.000 0.000 5.740
Pr Y
1 1
Cartesian
0.000 0.000 0.000
1.803 1.041 2.870
```

- Space group: No. 187
- N(E_F): 1.67 states/eV/atom
- Formation energy: 30 meV/atom

=====

(17)
Material: PrY3
Method: DFT, PBEsol
State: optimized geometry

Structure (POSCAR):
```
PrY3
1.0
7.190 0.000 0.000
-3.595 6.227 0.000
0.000 0.000 5.667
Pr Y
2 6
Cartesian
0.000 4.151 1.417
3.595 2.076 4.250
0.000 2.069 4.250
-1.803 5.193 4.250
1.792 1.034 1.417
1.803 5.193 4.250
5.399 1.034 1.417
3.595 4.158 1.417
```

- Space group: No. 194
- N(E_F): 1.80 states/eV/atom
- Formation energy: 14 meV/atom

=====

(18)
Material: PrY3
Method: DFT, PBEsol
State: optimized geometry

Structure (POSCAR):
```
PrY3
1.0
5.012 0.000 0.000
0.000 5.012 0.000
0.000 0.000 9.953
Pr Y
2 6
Cartesian
0.000 0.000 0.000
2.506 2.506 4.976
0.000 0.000 4.976
0.000 2.506 2.488
0.000 2.506 7.464
2.506 0.000 2.488
2.506 0.000 7.464
2.506 2.506 0.000
```

- Space group: No. 139
- N(E_F): 1.43 states/eV/atom
- Formation energy: 16 meV/atom

=====

(19)
Material: PrY
Method: DFT, PBEsol
State: optimized geometry

Structure (POSCAR):
```
PrY
1.0
1.796 1.037 17.256
-1.796 1.037 17.256
0.000 -2.074 17.256
Pr Y
3 3
Cartesian
0.000 0.000 0.000
0.000 0.000 5.745
0.000 0.000 25.983
0.000 0.000 20.112
0.000 0.000 31.647
0.000 0.000 46.096
```

- Space group: No. 160
- N(E_F): 1.39 states/eV/atom
- Formation energy: -6 meV/atom

=====

(20)
Material: PrYZn2
Method: DFT, PBEsol
State: optimized geometry

Structure (POSCAR):
```
PrYZn2
1.0
7.158 0.000 0.000
0.000 7.158 0.000
0.000 0.000 7.158
Pr Y Zn
4 4 8
Cartesian
0.000 0.000 0.000
0.000 3.579 3.579
3.579 0.000 3.579
3.579 3.579 0.000
0.000 0.000 3.579
0.000 3.579 0.000
3.579 0.000 0.000
3.579 3.579 3.579
1.789 1.789 1.789
1.789 1.789 5.368
1.789 5.368 1.789
1.789 5.368 5.368
5.368 1.789 1.789
5.368 1.789 5.368
5.368 5.368 1.789
5.368 5.368 5.368
```

- Space group: No. 225
- N(E_F): 1.03 states/eV/atom
- Formation energy: -317 meV/atom

=====

(21)
Material: PrZn
Method: DFT, PBEsol
State: optimized geometry

Structure (POSCAR):
```
PrZn
1.0
3.639 0.000 0.000
0.000 3.639 0.000
0.000 0.000 3.639
Pr Zn
1 1
Cartesian
0.000 0.000 0.000
1.819 1.819 1.819
```

- Space group: No. 221
- N(E_F): 1.05 states/eV/atom
- Formation energy: -290 meV/atom

=====

(22)
Material: PrZn11
Method: DFT, PBEsol
State: optimized geometry

Structure (POSCAR):
```
PrZn11
1.0
-5.224 5.224 3.354
5.224 -5.224 3.354
5.224 5.224 -3.354
Pr Zn
2 22
Cartesian
5.224 2.612 0.838
0.000 2.612 2.515
0.000 0.000 0.000
2.612 2.612 -1.677
2.612 -2.612 1.677
5.224 -2.612 2.515
3.950 -0.464 1.193
6.497 -0.464 1.193
2.148 1.338 0.484
8.299 1.338 0.484
3.950 4.760 -1.193
1.274 -0.464 2.161
2.148 3.885 0.484
3.076 -1.338 3.838
0.000 5.224 0.000
2.148 6.562 -0.484
3.076 1.338 2.870
3.950 5.687 1.193
1.274 0.464 4.546
-3.076 3.885 2.870
3.076 3.885 2.870
-1.274 5.687 2.161
1.274 5.687 2.161
0.000 7.835 0.838
```

- Space group: No. 141
- N(E_F): 0.25 states/eV/atom
- Formation energy: -237 meV/atom

=====

(23)
Material: Pr2Zn17
Method: DFT, PBEsol
State: optimized geometry

Structure (POSCAR):
```
Pr2Zn17
1.0
8.891 0.000 0.000
-4.445 7.700 0.000
0.000 0.000 8.692
Pr Zn
4 34
Cartesian
0.000 0.000 2.173
0.000 0.000 6.519
0.000 5.133 2.173
4.445 2.567 6.519
-2.223 3.850 0.000
-2.223 3.850 4.346
-1.276 2.864 6.519
-2.603 5.163 6.519
0.000 2.501 0.166
0.000 2.501 4.180
-2.279 6.449 0.166
-2.279 6.449 4.180
2.166 1.251 4.512
2.166 1.251 8.526
1.276 2.864 6.519
-1.327 7.373 6.519
0.000 5.133 5.248
0.000 5.133 7.790
3.118 0.327 2.173
1.842 2.537 2.173
4.445 0.000 0.000
4.445 0.000 4.346
2.223 3.850 0.000
2.223 3.850 4.346
2.603 5.163 6.519
1.327 7.373 6.519
4.445 2.567 0.902
4.445 2.567 3.444
5.773 0.327 2.173
3.170 4.836 2.173
2.279 6.449 0.166
2.279 6.449 4.180
6.725 1.251 4.512
6.725 1.251 8.526
4.445 5.198 4.512
4.445 5.198 8.526
7.049 2.537 2.173
5.721 4.836 2.173
```

- Space group: No. 194
- N(E_F): 0.28 states/eV/atom
- Formation energy: -276 meV/atom